Entry 1:
Computed, not measured: crystalline LuTiOsRh at its relaxed geometry at the PBE level of DFT.

* ΔH_f (0 K): -60.4 kJ/mol of atoms

abc: 4.5547 4.5547 4.5547
angles: 60.00 60.00 60.00
Sites, in units of the cell vectors:
1 Lu 0.0000 0.0000 0.0000
2 Ti 0.5000 0.5000 0.5000
3 Os 0.7500 0.7500 0.7500
4 Rh 0.2500 0.2500 0.2500

***

Entry 2:
Computed, not measured: crystalline KHgAu at its relaxed geometry at the PBE level of DFT.

* ΔH_f (0 K): -21.3 kJ/mol of atoms

abc: 5.2208 5.2208 5.2208
angles: 60.00 60.00 60.00
Sites, in units of the cell vectors:
1 K 0.0000 0.0000 0.0000
2 Hg 0.5000 0.5000 0.5000
3 Au 0.2500 0.2500 0.2500

***

Entry 3:
Computed, not measured: crystalline Sn4HgPb at its relaxed geometry at the PBE level of DFT.

* ΔH_f (0 K): 4.3 kJ/mol of atoms

abc: 6.3438 6.3438 5.5113
angles: 115.25 115.25 97.71
Sites, in units of the cell vectors:
1 Sn 0.0823 0.4162 0.2490
2 Sn 0.4162 0.0823 0.2490
3 Sn 0.5838 0.9177 0.7510
4 Sn 0.9177 0.5838 0.7510
5 Hg 0.5000 0.5000 0.0000
6 Pb 0.0000 0.0000 0.5000

***

Entry 4:
Computed, not measured: crystalline Y7Pb6 at its relaxed geometry at the PBE level of DFT.

* ΔH_f (0 K): -7.6 kJ/mol of atoms

abc: 11.5460 11.5460 11.5460
angles: 33.05 33.05 33.05
Sites, in units of the cell vectors:
1 Y 0.0000 0.0000 0.0000
2 Y 0.0826 0.0826 0.5810
3 Y 0.0826 0.5810 0.0826
4 Y 0.4190 0.9174 0.9174
5 Y 0.5810 0.0826 0.0826
6 Y 0.9174 0.4190 0.9174
7 Y 0.9174 0.9174 0.4190
8 Pb 0.1666 0.1666 0.1666
9 Pb 0.3410 0.3410 0.3410
10 Pb 0.4386 0.4386 0.4386
11 Pb 0.5614 0.5614 0.5614
12 Pb 0.6590 0.6590 0.6590
13 Pb 0.8334 0.8334 0.8334

***

Entry 5:
Computed, not measured: crystalline TlRhSe4 at its relaxed geometry at the PBE level of DFT.

* uncorrected formation energy: -0.219 eV/atom

abc: 7.4961 7.4961 7.1409
angles: 106.04 106.04 110.00
Sites, in units of the cell vectors:
1 Tl 0.0960 0.9040 0.7500
2 Tl 0.9040 0.0960 0.2500
3 Rh 0.4461 0.5539 0.7500
4 Rh 0.5539 0.4461 0.2500
5 Se 0.1974 0.5978 0.4585
6 Se 0.2622 0.4404 0.9751
7 Se 0.4022 0.8026 0.0415
8 Se 0.4404 0.2622 0.4751
9 Se 0.5596 0.7378 0.5249
10 Se 0.5978 0.1974 0.9585
11 Se 0.7378 0.5596 0.0249
12 Se 0.8026 0.4022 0.5415

***

Entry 6:
Computed, not measured: crystalline AgTe2Cl at its relaxed geometry at the PBE level of DFT.

* uncorrected formation energy: 0.009 eV/atom

abc: 3.7219 3.7219 9.0589
angles: 90.00 90.00 118.30
Sites, in units of the cell vectors:
1 Ag 0.0000 0.0000 0.0000
2 Te 0.0000 0.0000 0.4847
3 Te 0.5000 0.5000 0.2282
4 Cl 0.5000 0.5000 0.8201

***

Entry 7:
Computed, not measured: crystalline Tb4Sm15Mg at its relaxed geometry at the PBE level of DFT.

* ΔH_f (0 K): 1.3 kJ/mol of atoms

abc: 5.0823 5.0823 25.4704
angles: 90.00 90.00 90.00
Sites, in units of the cell vectors:
1 Tb 0.0000 0.0000 0.1006
2 Tb 0.0000 0.0000 0.3025
3 Tb 0.0000 0.0000 0.6975
4 Tb 0.0000 0.0000 0.8994
5 Sm 0.0000 0.5000 0.0000
6 Sm 0.0000 0.5000 0.2014
7 Sm 0.0000 0.5000 0.4022
8 Sm 0.0000 0.5000 0.5978
9 Sm 0.0000 0.5000 0.7986
10 Sm 0.5000 0.0000 0.0000
11 Sm 0.5000 0.0000 0.2014
12 Sm 0.5000 0.0000 0.4022
13 Sm 0.5000 0.0000 0.5978
14 Sm 0.5000 0.0000 0.7986
15 Sm 0.5000 0.5000 0.1011
16 Sm 0.5000 0.5000 0.3034
17 Sm 0.5000 0.5000 0.5000
18 Sm 0.5000 0.5000 0.6966
19 Sm 0.5000 0.5000 0.8989
20 Mg 0.0000 0.0000 0.5000

***

Entry 8:
Computed, not measured: crystalline Fe2AgBr at its relaxed geometry at the PBE level of DFT.

* uncorrected formation energy: 0.423 eV/atom

abc: 2.9656 2.9656 8.7165
angles: 90.00 90.00 113.65
Sites, in units of the cell vectors:
1 Fe 0.0000 0.0000 0.0000
2 Fe 0.5000 0.5000 0.1961
3 Ag 0.5000 0.5000 0.7543
4 Br 0.0000 0.0000 0.4239

***

Entry 9:
Computed, not measured: crystalline ErTl2In at its relaxed geometry at the PBE level of DFT.

* ΔH_f (0 K): -10.7 kJ/mol of atoms

abc: 3.9629 3.9629 6.9323
angles: 90.00 90.00 90.00
Sites, in units of the cell vectors:
1 Er 0.0000 0.0000 0.0000
2 Tl 0.5000 0.5000 0.2535
3 Tl 0.5000 0.5000 0.7465
4 In 0.0000 0.0000 0.5000

***

Entry 10:
Computed, not measured: crystalline ZnCuHN2 at its relaxed geometry at the PBE level of DFT.

* total DFT energy (no corrections): -3.55 eV/atom

abc: 3.6409 3.6409 3.2428
angles: 90.00 90.00 90.00
Sites, in units of the cell vectors:
1 Zn 0.0000 0.0000 0.0000
2 Cu 0.5000 0.5000 0.0000
3 H 0.0000 0.0000 0.5000
4 N 0.0000 0.5000 0.5000
5 N 0.5000 0.0000 0.5000

***

Entry 11:
Computed, not measured: crystalline RbTl2GeCl5 at its relaxed geometry at the PBE level of DFT.

* uncorrected formation energy: -1.121 eV/atom

abc: 9.9636 9.9636 9.9636
angles: 128.97 128.97 75.07
Sites, in units of the cell vectors:
1 Rb 0.2500 0.2500 0.0000
2 Rb 0.7500 0.7500 0.0000
3 Tl 0.1682 0.6682 0.8364
4 Tl 0.3318 0.1682 0.5000
5 Tl 0.6682 0.8318 0.5000
6 Tl 0.8318 0.3318 0.1636
7 Ge 0.2500 0.7500 0.5000
8 Ge 0.7500 0.2500 0.5000
9 Cl 0.0000 0.0000 0.0000
10 Cl 0.0131 0.1879 0.5000
11 Cl 0.1879 0.6879 0.1748
12 Cl 0.3121 0.4869 0.5000
13 Cl 0.4869 0.9869 0.1748
14 Cl 0.5000 0.5000 0.0000
15 Cl 0.5131 0.0131 0.8252
16 Cl 0.6879 0.5131 0.5000
17 Cl 0.8121 0.3121 0.8252
18 Cl 0.9869 0.8121 0.5000

***

Entry 12:
Computed, not measured: crystalline PrHoLu at its relaxed geometry at the PBE level of DFT.

* ΔH_f (0 K): 3.1 kJ/mol of atoms

abc: 7.9761 7.9761 7.9761
angles: 154.12 154.12 36.92
Sites, in units of the cell vectors:
1 Pr 0.0000 0.0000 0.0000
2 Ho 0.3294 0.3294 0.0000
3 Lu 0.6684 0.6684 0.0000

***

Entry 13:
Computed, not measured: crystalline K2VHg at its relaxed geometry at the PBE level of DFT.

* ΔH_f (0 K): 72.2 kJ/mol of atoms

abc: 7.5037 7.5037 7.5037
angles: 99.67 99.67 131.61
Sites, in units of the cell vectors:
1 K 0.0960 0.6250 0.9710
2 K 0.3750 0.3460 0.4710
3 K 0.6540 0.1250 0.0290
4 K 0.8750 0.9040 0.5290
5 V 0.2500 0.7500 0.5000
6 V 0.5000 0.5000 0.0000
7 Hg 0.0000 0.0000 0.0000
8 Hg 0.7500 0.2500 0.5000

***

Entry 14:
Computed, not measured: crystalline Li3Cd2IrO6 at its relaxed geometry at the PBE level of DFT.

* uncorrected formation energy: -1.281 eV/atom

abc: 5.7708 5.7708 5.1998
angles: 98.88 98.88 122.33
Sites, in units of the cell vectors:
1 Li 0.0000 0.0000 0.0000
2 Li 0.3703 0.6297 0.0000
3 Li 0.6297 0.3703 0.0000
4 Cd 0.1718 0.8282 0.5000
5 Cd 0.8282 0.1718 0.5000
6 Ir 0.5000 0.5000 0.5000
7 O 0.1469 0.4267 0.2606
8 O 0.2725 0.2725 0.7309
9 O 0.4267 0.1469 0.2606
10 O 0.5733 0.8531 0.7394
11 O 0.7275 0.7275 0.2691
12 O 0.8531 0.5733 0.7394

***

Entry 15:
Computed, not measured: crystalline Hf8Zr at its relaxed geometry at the PBE level of DFT.

* ΔH_f (0 K): 6.2 kJ/mol of atoms

abc: 7.0897 7.0897 7.0897
angles: 95.72 95.72 143.19
Sites, in units of the cell vectors:
1 Hf 0.0000 0.3345 0.3345
2 Hf 0.0000 0.6655 0.6655
3 Hf 0.3318 0.3318 0.6635
4 Hf 0.3318 0.6682 0.0000
5 Hf 0.3345 0.0000 0.3345
6 Hf 0.6655 0.0000 0.6655
7 Hf 0.6682 0.3318 0.0000
8 Hf 0.6682 0.6682 0.3365
9 Zr 0.0000 0.0000 0.0000

***

Entry 16:
Computed, not measured: crystalline TaBe2Au at its relaxed geometry at the PBE level of DFT.

* ΔH_f (0 K): 3.2 kJ/mol of atoms

abc: 4.0324 4.0324 3.2888
angles: 90.00 90.00 90.00
Sites, in units of the cell vectors:
1 Ta 0.0000 0.0000 0.0000
2 Be 0.0000 0.5000 0.5000
3 Be 0.5000 0.0000 0.5000
4 Au 0.5000 0.5000 0.0000

***

Entry 17:
Computed, not measured: crystalline LaThZnSn at its relaxed geometry at the PBE level of DFT.

* ΔH_f (0 K): -36.3 kJ/mol of atoms

abc: 5.4114 5.4114 5.4114
angles: 60.00 60.00 60.00
Sites, in units of the cell vectors:
1 La 0.0000 0.0000 0.0000
2 Th 0.5000 0.5000 0.5000
3 Zn 0.7500 0.7500 0.7500
4 Sn 0.2500 0.2500 0.2500

***

Entry 18:
Computed, not measured: crystalline NaCeCl2 at its relaxed geometry at the PBE level of DFT.

* uncorrected formation energy: -1.431 eV/atom

abc: 9.8991 9.8991 9.8991
angles: 21.79 21.79 21.79
Sites, in units of the cell vectors:
1 Na 0.0000 0.0000 0.0000
2 Ce 0.5000 0.5000 0.5000
3 Cl 0.1002 0.1002 0.1002
4 Cl 0.8998 0.8998 0.8998

***

Entry 19:
Computed, not measured: crystalline ScReAg2Ir at its relaxed geometry at the PBE level of DFT.

* ΔH_f (0 K): 167.4 kJ/mol of atoms

abc: 4.9573 4.9573 4.7068
angles: 90.00 90.00 90.00
Sites, in units of the cell vectors:
1 Sc 0.0000 0.0000 0.0000
2 Re 0.0000 0.0000 0.5000
3 Ag 0.0000 0.5000 0.5000
4 Ag 0.5000 0.0000 0.5000
5 Ir 0.5000 0.5000 0.0000

***

Entry 20:
Computed, not measured: crystalline NbAl2RhBr at its relaxed geometry at the PBE level of DFT.

* uncorrected formation energy: 1.270 eV/atom

abc: 4.7372 4.7372 4.6713
angles: 90.00 90.00 90.00
Sites, in units of the cell vectors:
1 Nb 0.0000 0.0000 0.0000
2 Al 0.0000 0.5000 0.5000
3 Al 0.5000 0.0000 0.5000
4 Rh 0.5000 0.5000 0.0000
5 Br 0.0000 0.0000 0.5000

***

Entry 21:
Computed, not measured: crystalline CsH2PdF8 at its relaxed geometry at the PBE level of DFT.

* total DFT energy (no corrections): -3.91 eV/atom

abc: 5.1626 5.1913 8.3264
angles: 78.29 76.90 65.58
Sites, in units of the cell vectors:
1 Cs 0.0000 0.0000 0.0000
2 H 0.2895 0.2997 0.2474
3 H 0.7105 0.7003 0.7526
4 Pd 0.0000 0.0000 0.5000
5 F 0.2260 0.2331 0.4383
6 F 0.2347 0.7617 0.6624
7 F 0.2478 0.7690 0.3311
8 F 0.3181 0.3264 0.1261
9 F 0.6819 0.6736 0.8739
10 F 0.7522 0.2310 0.6689
11 F 0.7653 0.2383 0.3376
12 F 0.7740 0.7669 0.5617

***

Entry 22:
Computed, not measured: crystalline La2PrHgO4 at its relaxed geometry at the PBE level of DFT.

* uncorrected formation energy: -2.858 eV/atom

abc: 4.1537 4.1537 9.5826
angles: 90.00 90.00 90.00
Sites, in units of the cell vectors:
1 La 0.0000 0.0000 0.2431
2 La 0.0000 0.0000 0.7569
3 Pr 0.5000 0.5000 0.5000
4 Hg 0.5000 0.5000 0.0000
5 O 0.0000 0.5000 0.3477
6 O 0.0000 0.5000 0.6523
7 O 0.5000 0.0000 0.3477
8 O 0.5000 0.0000 0.6523

***

Entry 23:
Computed, not measured: crystalline CuTcB2C at its relaxed geometry at the PBE level of DFT.

* ΔH_f (0 K): 143.4 kJ/mol of atoms

abc: 4.1090 4.1090 3.9378
angles: 90.00 90.00 90.00
Sites, in units of the cell vectors:
1 Cu 0.0000 0.0000 0.0000
2 Tc 0.5000 0.5000 0.5000
3 B 0.0000 0.5000 0.5000
4 B 0.5000 0.0000 0.5000
5 C 0.5000 0.5000 0.0000

***

Entry 24:
Computed, not measured: crystalline PrNdEr2In4 at its relaxed geometry at the PBE level of DFT.

* ΔH_f (0 K): -44.7 kJ/mol of atoms

abc: 9.3527 9.3527 9.3527
angles: 33.48 33.48 33.48
Sites, in units of the cell vectors:
1 Pr 0.0000 0.0000 0.0000
2 Nd 0.5000 0.5000 0.5000
3 Er 0.2500 0.2500 0.2500
4 Er 0.7500 0.7500 0.7500
5 In 0.1254 0.1254 0.1254
6 In 0.3753 0.3753 0.3753
7 In 0.6247 0.6247 0.6247
8 In 0.8746 0.8746 0.8746

***

Entry 25:
Computed, not measured: crystalline Sc2CdFeH at its relaxed geometry at the PBE level of DFT.

* total DFT energy (no corrections): -5.30 eV/atom

abc: 4.6217 4.6217 3.5823
angles: 90.00 90.00 90.00
Sites, in units of the cell vectors:
1 Sc 0.0000 0.5000 0.0000
2 Sc 0.5000 0.0000 0.0000
3 Cd 0.0000 0.0000 0.5000
4 Fe 0.5000 0.5000 0.5000
5 H 0.5000 0.5000 0.0000